1.
DFT (PBE-GGA) results for a relaxed structure of Rb3MnSb2.

Formation energy without anion corrections = -5.667 kcal/mol of atoms
Uncorrected energy = -21.79 eV per formula unit
Volume = 511.6 Å³/cell
DOS at the Fermi energy = 3.13 states/eV/cell

a b c (Å): 9.1661 7.3437 9.6045
angles (deg): 112.48 118.50 90.00
Atoms (fractional coordinates):
Rb 0.3674 0.6810 0.3620
Rb 0.6326 0.3190 0.6380
Rb 0.5000 0.2500 0.0000
Rb 0.0054 0.8190 0.6380
Rb 0.5000 0.7500 0.0000
Rb 0.9946 0.1810 0.3620
Mn 0.0000 0.2500 0.0000
Mn 0.0000 0.7500 0.0000
Sb 0.9047 0.5815 0.1630
Sb 0.7417 0.9185 0.8370
Sb 0.0953 0.4185 0.8370
Sb 0.2583 0.0815 0.1630

2.
DFT (PBE-GGA) results for a relaxed structure of RbMnSb3.

Formation energy without anion corrections = 39.507 kcal/mol of atoms
Uncorrected energy = -13.94 eV per formula unit
Volume = 211.7 Å³/cell
Distance to the lowest polymorph of the same formula = 1451 meV per atom
DOS at the Fermi energy = 3.33 states/eV/cell

a b c (Å): 5.9603 5.9603 5.9603
angles (deg): 90.00 90.00 90.00
Atoms (fractional coordinates):
Sb 0.0000 0.0000 0.5000
Sb 0.0000 0.5000 0.0000
Sb 0.5000 0.0000 0.0000
Mn 0.5000 0.5000 0.5000
Rb 0.0000 0.0000 0.0000

3.
DFT (PBE-GGA) results for a relaxed structure of RbMnSb2.

Formation energy without anion corrections = 1.839 kcal/mol of atoms
Uncorrected energy = -18.06 eV per formula unit
Volume = 310.6 Å³/cell
Distance to the lowest polymorph of the same formula = 217 meV per atom
DOS at the Fermi energy = 0.00 states/eV/cell

a b c (Å): 6.8759 6.8759 8.1735
angles (deg): 65.13 65.13 90.00
Atoms (fractional coordinates):
Mn 0.2500 0.7500 0.5000
Mn 0.5000 0.5000 0.0000
Sb 0.3753 0.1250 0.2500
Sb 0.3747 0.6250 0.2500
Sb 0.8750 0.6253 0.7500
Sb 0.3750 0.6247 0.7500
Rb 0.0000 0.0000 0.0000
Rb 0.7500 0.2500 0.5000

4.
DFT (PBE-GGA) results for a relaxed structure of RbMnSb.

Formation energy without anion corrections = -2.549 kcal/mol of atoms
Uncorrected energy = -14.59 eV per formula unit
Volume = 196.3 Å³/cell
DOS at the Fermi energy = 4.47 states/eV/cell

a b c (Å): 4.7640 4.7640 8.6498
angles (deg): 90.00 90.00 90.00
Atoms (fractional coordinates):
Mn 0.0000 0.0000 0.0000
Mn 0.5000 0.5000 0.0000
Sb 0.0000 0.5000 0.8263
Sb 0.5000 0.0000 0.1737
Rb 0.0000 0.5000 0.3440
Rb 0.5000 0.0000 0.6560

5.
DFT (PBE-GGA) results for a relaxed structure of RbMnSb2.

Formation energy without anion corrections = 9.090 kcal/mol of atoms
Uncorrected energy = -16.81 eV per formula unit
Volume = 111.8 Å³/cell
Distance to the lowest polymorph of the same formula = 531 meV per atom
DOS at the Fermi energy = 3.98 states/eV/cell

a b c (Å): 5.4075 5.4075 5.4075
angles (deg): 60.00 60.00 60.00
Atoms (fractional coordinates):
Sb 0.2500 0.2500 0.2500
Sb 0.7500 0.7500 0.7500
Mn 0.0000 0.0000 0.0000
Rb 0.5000 0.5000 0.5000

6.
DFT (PBE-GGA) results for a relaxed structure of Rb2MnSb2.

Formation energy without anion corrections = -2.171 kcal/mol of atoms
Uncorrected energy = -19.82 eV per formula unit
Volume = 337.4 Å³/cell
Distance to the lowest polymorph of the same formula = 0 meV per atom
DOS at the Fermi energy = 3.19 states/eV/cell

a b c (Å): 7.4007 7.4007 6.1604
angles (deg): 90.00 90.00 90.00
Atoms (fractional coordinates):
Mn 0.0000 0.0000 0.0000
Mn 0.5000 0.5000 0.0000
Sb 0.3564 0.8564 0.0000
Sb 0.8564 0.6436 0.0000
Sb 0.1436 0.3564 0.0000
Sb 0.6436 0.1436 0.0000
Rb 0.6685 0.8315 0.5000
Rb 0.1685 0.6685 0.5000
Rb 0.3315 0.1685 0.5000
Rb 0.8315 0.3315 0.5000

7.
DFT (PBE-GGA) results for a relaxed structure of RbMnSb.

Formation energy without anion corrections = 4.662 kcal/mol of atoms
Uncorrected energy = -13.65 eV per formula unit
Volume = 180.6 Å³/cell
DOS at the Fermi energy = 4.25 states/eV/cell

a b c (Å): 4.1687 3.7219 14.1766
angles (deg): 96.41 90.00 124.06
Atoms (fractional coordinates):
Rb 0.1359 0.2718 0.8384
Rb 0.8641 0.7282 0.1616
Sb 0.3265 0.6530 0.3596
Sb 0.6735 0.3470 0.6404
Mn 0.7062 0.4125 0.4644
Mn 0.2938 0.5875 0.5356

8.
DFT (PBE-GGA) results for a relaxed structure of Rb2MnSb2.

Formation energy without anion corrections = 12.281 kcal/mol of atoms
Uncorrected energy = -16.69 eV per formula unit
Volume = 209.1 Å³/cell
Distance to the lowest polymorph of the same formula = 627 meV per atom
DOS at the Fermi energy = 4.02 states/eV/cell

a b c (Å): 3.5462 3.5462 16.6295
angles (deg): 90.00 90.00 90.00
Atoms (fractional coordinates):
Rb 0.5000 0.5000 0.3659
Rb 0.5000 0.5000 0.6341
Mn 0.5000 0.5000 0.0000
Sb 0.5000 0.5000 0.8418
Sb 0.5000 0.5000 0.1582

Look up the formation energy without anion corrections of the sixth one. -2.171 kcal/mol of atoms

Among the records above, which one has the lowest formation energy without anion corrections? Rb3MnSb2